The following is a DFT calculation (PBE-GGA) of a relaxed structure of LaSmHoTl.

a b c (Å): 5.528 5.528 5.530
angles (deg): 119.98 119.98 90.00
Positions (direct):
Tl  0.250  0.750  0.500
La  0.750  0.250  0.500
Sm  0.500  0.500  0.000
Ho  0.000  0.000  0.000

Results
Excess energy over the best structure of this formula in the dataset ... 63 meV/atom

---

The following is a DFT calculation (PBE-GGA) of a relaxed structure of ZrInTe2.

a b c (Å): 3.628 3.628 8.287
angles (deg): 90.00 90.00 90.00
Positions (direct):
In  0.500  0.500  0.750
Zr  0.500  0.500  0.250
Te  0.000  0.000  0.045
Te  0.000  0.000  0.455

Results
Uncorrected formation energy ... -0.53 eV/atom

---

The following is a DFT calculation (PBE-GGA) of a relaxed structure of Ho3Tm7Mg2.

a b c (Å): 3.481 5.657 18.820
angles (deg): 103.76 90.00 90.00
Positions (direct):
Tm  0.500  0.281  0.539
Tm  0.500  0.984  0.169
Tm  0.500  0.719  0.461
Tm  0.000  0.535  0.853
Tm  0.000  0.465  0.147
Tm  0.000  0.000  0.000
Tm  0.500  0.016  0.831
Mg  0.500  0.411  0.707
Mg  0.500  0.589  0.293
Ho  0.000  0.853  0.630
Ho  0.000  0.147  0.370
Ho  0.500  0.500  0.000

Results
Electronic total energy ... -47.04 eV/cell

---

The following is a DFT calculation (PBE-GGA) of a relaxed structure of SmH4Pd.

a b c (Å): 4.405 4.722 6.988
angles (deg): 106.26 90.00 117.81
Positions (direct):
Pd  0.000  0.500  0.500
Pd  0.500  0.500  0.000
H  0.854  0.578  0.876
H  0.328  0.071  0.920
H  0.257  0.929  0.580
H  0.724  0.578  0.376
H  0.672  0.929  0.080
H  0.743  0.071  0.420
H  0.276  0.422  0.624
H  0.146  0.422  0.124
Sm  0.222  0.000  0.250
Sm  0.778  0.000  0.750

Results
Electronic total energy ... -51.49 eV/cell

---

The following is a DFT calculation (PBE-GGA) of a relaxed structure of CsNp4Cu3Se12.

a b c (Å): 8.861 8.861 8.861
angles (deg): 109.47 109.47 109.47
Each line ends with the local moment (μB).
Positions (direct):
Se  0.324  0.832  0.156  -0.14
Se  0.844  0.676  0.168  -0.14
Se  0.676  0.832  0.507  -0.14
Se  0.676  0.168  0.844  -0.14
Se  0.493  0.324  0.168  -0.14
Se  0.832  0.156  0.324  -0.14
Se  0.507  0.676  0.832  -0.14
Se  0.832  0.507  0.676  -0.14
Se  0.168  0.844  0.676  -0.14
Se  0.168  0.493  0.324  -0.14
Se  0.324  0.168  0.493  -0.14
Se  0.156  0.324  0.832  -0.14
Cs  0.000  0.000  0.000  0.00
Np  0.000  0.000  0.500  3.15
Np  0.500  0.000  0.000  3.15
Np  0.500  0.500  0.500  3.15
Np  0.000  0.500  0.000  3.15
Cu  0.500  0.000  0.500  -0.01
Cu  0.500  0.500  0.000  -0.01
Cu  0.000  0.500  0.500  -0.01

Results
Uncorrected formation energy ... -0.64 eV/atom

---

The following is a DFT calculation (PBE-GGA) of a relaxed structure of GaNiIrC.

a b c (Å): 2.852 6.915 5.729
angles (deg): 90.00 113.83 90.00
Positions (direct):
Ni  0.500  0.861  0.000
Ni  0.500  0.361  0.500
Ir  0.500  0.733  0.500
Ir  0.500  0.233  0.000
C  0.000  0.538  0.500
C  0.000  0.038  0.000
Ga  0.000  0.558  0.000
Ga  0.000  0.058  0.500

Results
Excess energy over the best structure of this formula in the dataset ... 152 meV/atom

---

The following is a DFT calculation (PBE-GGA) of a relaxed structure of Ca2ScAgO.

a b c (Å): 5.038 5.038 4.193
angles (deg): 90.00 90.00 90.00
Positions (direct):
Sc  0.000  0.000  0.500
Ag  0.500  0.500  0.500
Ca  0.000  0.500  0.000
Ca  0.500  0.000  0.000
O  0.000  0.000  0.000

Results
Uncorrected formation energy ... -1.22 eV/atom

---

The following is a DFT calculation (PBE-GGA) of a relaxed structure of ZrP3Se.

a b c (Å): 4.654 4.654 4.654
angles (deg): 90.00 90.00 90.00
Positions (direct):
P  0.000  0.000  0.500
P  0.000  0.500  0.000
P  0.500  0.000  0.000
Zr  0.500  0.500  0.500
Se  0.000  0.000  0.000

Results
Uncorrected formation energy ... 0.66 eV/atom
Excess energy over the best structure of this formula in the dataset ... 0 meV/atom

---

The following is a DFT calculation (PBE-GGA) of a relaxed structure of TbGa2Tc.

a b c (Å): 3.336 3.336 6.547
angles (deg): 90.00 90.00 90.00
Positions (direct):
Ga  0.000  0.000  0.803
Ga  0.000  0.000  0.197
Tb  0.500  0.500  0.500
Tc  0.500  0.500  0.000

Results
Excess energy over the best structure of this formula in the dataset ... 0 meV/atom

---

The following is a DFT calculation (PBE-GGA) of a relaxed structure of NbGa3W.

a b c (Å): 4.812 4.812 4.812
angles (deg): 90.00 90.00 90.00
Each line ends with the local moment (μB).
Positions (direct):
Ga  0.000  0.500  0.000  -0.04
Ga  0.500  0.000  0.000  -0.01
Ga  0.000  0.000  0.500  -0.06
W  0.000  0.000  0.000  -0.36
Nb  0.500  0.500  0.500  2.17

Results
Excess energy over the best structure of this formula in the dataset ... 0 meV/atom

---

The following is a DFT calculation (PBE-GGA) of a relaxed structure of TbHoZr2.

a b c (Å): 3.366 3.366 11.025
angles (deg): 81.22 81.22 60.04
Positions (direct):
Ho  0.667  0.667  0.999
Tb  0.500  0.500  0.500
Zr  0.083  0.083  0.751
Zr  0.250  0.250  0.250

Results
Excess energy over the best structure of this formula in the dataset ... 30 meV/atom

---

The following is a DFT calculation (PBE-GGA) of a relaxed structure of NaAc2Ge4Pd3.

a b c (Å): 4.519 4.519 10.642
angles (deg): 90.00 90.00 90.00
Positions (direct):
Ge  0.500  0.500  0.000
Ge  0.000  0.500  0.354
Ge  0.000  0.000  0.000
Ge  0.500  0.000  0.646
Pd  0.500  0.000  0.883
Pd  0.000  0.000  0.500
Pd  0.000  0.500  0.117
Ac  0.500  0.000  0.243
Ac  0.000  0.500  0.757
Na  0.500  0.500  0.500

Results
Electronic total energy ... -50.01 eV/cell

---

The following is a DFT calculation (PBE-GGA) of a relaxed structure of Ce4Er.

a b c (Å): 5.667 5.667 5.667
angles (deg): 90.00 90.00 90.00
Each line ends with the local moment (μB).
Positions (direct):
Ce  0.500  0.000  0.500  0.82
Ce  0.000  0.500  0.500  0.82
Ce  0.000  0.000  0.000  1.23
Ce  0.500  0.500  0.000  0.82
Er  0.500  0.500  0.500  0.36

Results
Electronic total energy ... -24.01 eV/cell

---

The following is a DFT calculation (PBE-GGA) of a relaxed structure of CuIr2Br.

a b c (Å): 2.809 2.809 10.035
angles (deg): 90.00 90.00 120.97
Positions (direct):
Cu  0.500  0.500  0.769
Ir  0.500  0.500  0.206
Ir  0.000  0.000  0.984
Br  0.000  0.000  0.541

Results
Uncorrected formation energy ... 0.66 eV/atom
Excess energy over the best structure of this formula in the dataset ... 213 meV/atom

---

The following is a DFT calculation (PBE-GGA) of a relaxed structure of SmHoNp2S4.

a b c (Å): 3.937 6.845 6.765
angles (deg): 109.66 90.00 90.00
Each line ends with the local moment (μB).
Positions (direct):
Sm  0.000  0.000  0.000  0.04
S  0.000  0.746  0.250  -0.02
S  0.500  0.258  0.254  0.03
S  0.000  0.254  0.750  -0.02
S  0.500  0.742  0.746  0.03
Ho  0.500  0.500  0.000  -0.06
Np  0.500  0.000  0.500  3.89
Np  0.000  0.500  0.500  -3.81

Results
Uncorrected formation energy ... -1.67 eV/atom

---

The following is a DFT calculation (PBE-GGA) of a relaxed structure of Rb2NaHgPd.

a b c (Å): 6.534 6.534 5.357
angles (deg): 90.00 90.00 90.00
Positions (direct):
Na  0.500  0.500  0.500
Pd  0.000  0.000  0.000
Rb  0.000  0.500  0.000
Rb  0.500  0.000  0.000
Hg  0.000  0.000  0.500

Results
Excess energy over the best structure of this formula in the dataset ... 0 meV/atom

---

The following is a DFT calculation (PBE-GGA) of a relaxed structure of BaNaSb.

a b c (Å): 4.784 5.181 5.181
angles (deg): 120.00 90.00 90.00
Positions (direct):
Sb  0.171  0.000  0.000
Ba  0.665  0.667  0.333
Na  0.164  0.333  0.667

Results
Uncorrected formation energy ... -0.71 eV/atom

---

The following is a DFT calculation (PBE-GGA) of a relaxed structure of BaTaTc2.

a b c (Å): 4.203 3.070 7.068
angles (deg): 84.97 90.00 90.00
Positions (direct):
Tc  0.000  0.441  0.591
Tc  0.000  0.059  0.909
Ba  0.500  0.250  0.250
Ta  0.500  0.750  0.750

Results
Excess energy over the best structure of this formula in the dataset ... 134 meV/atom

---

The following is a DFT calculation (PBE-GGA) of a relaxed structure of CdCuOs2.

a b c (Å): 2.834 2.834 7.605
angles (deg): 90.00 90.00 90.00
Positions (direct):
Cd  0.000  0.000  0.508
Os  0.500  0.500  0.220
Os  0.000  0.000  0.004
Cu  0.500  0.500  0.767

Results
Electronic total energy ... -26.53 eV/cell

---

The following is a DFT calculation (PBE-GGA) of a relaxed structure of Ga3ReF.

a b c (Å): 4.290 4.290 4.290
angles (deg): 90.00 90.00 90.00
Each line ends with the local moment (μB).
Positions (direct):
Re  0.500  0.500  0.500  1.15
Ga  0.000  0.000  0.500  0.01
Ga  0.000  0.500  0.000  0.01
Ga  0.500  0.000  0.000  -0.02
F  0.000  0.000  0.000  0.00

Results
Uncorrected formation energy ... 0.22 eV/atom
Excess energy over the best structure of this formula in the dataset ... 216 meV/atom

---

Number 1: calculated volume 120 Å³ per cell. Number 2: calculated volume 109 Å³ per cell. Number 3: calculated volume 360 Å³ per cell. Number 4: calculated volume 122 Å³ per cell. Number 5: calculated volume 536 Å³ per cell. Number 6: calculated volume 103 Å³ per cell. Number 7: calculated volume 106 Å³ per cell. Number 8: calculated volume 101 Å³ per cell. Number 9: calculated volume 73 Å³ per cell. Number 10: calculated volume 111 Å³ per cell. Number 11: calculated volume 107 Å³ per cell. Number 12: calculated volume 217 Å³ per cell. Number 13: calculated volume 182 Å³ per cell. Number 14: calculated volume 68 Å³ per cell. Number 15: calculated volume 172 Å³ per cell. Number 16: calculated volume 229 Å³ per cell. Number 17: calculated volume 111 Å³ per cell. Number 18: calculated volume 91 Å³ per cell. Number 19: calculated volume 61 Å³ per cell. Number 20: calculated volume 79 Å³ per cell.